# YNi3 (PBE-GGA, optimized geometry)
data_YNi3
_symmetry_space_group_name_H-M 'R -3 m'
_symmetry_Int_Tables_number 166
_symmetry_space_group_name_Hall '-R 3 2"'
_cell_length_a 4.9610
_cell_length_b 4.9610
_cell_length_c 24.3759
_cell_angle_alpha 90.00
_cell_angle_beta 90.00
_cell_angle_gamma 120.00
loop_
_atom_site_label
_atom_site_fract_x
_atom_site_fract_y
_atom_site_fract_z
Y1 0.0000 0.0000 0.0000
Y2 0.0000 0.0000 0.1392
Ni1 0.0000 0.0000 0.3329
Ni2 0.0000 0.0000 0.5000
Ni3 0.9999 0.5000 0.0815
# DFT formation energy: -400 meV/atom

=====

# DyNi4B (PBE-GGA, optimized geometry)
data_DyNi4B
_symmetry_space_group_name_H-M 'P 6/m m m'
_symmetry_Int_Tables_number 191
_symmetry_space_group_name_Hall '-P 6 2'
_cell_length_a 4.9838
_cell_length_b 4.9838
_cell_length_c 6.9684
_cell_angle_alpha 90.00
_cell_angle_beta 90.00
_cell_angle_gamma 120.00
loop_
_atom_site_label
_atom_site_fract_x
_atom_site_fract_y
_atom_site_fract_z
Dy1 0.0000 0.0000 0.0000
Dy2 0.0000 0.0000 0.5000
Ni1 0.0000 0.5000 0.2079
Ni2 0.3333 0.6667 0.5000
B1 0.3333 0.6667 0.0000
# total energy: -0.224 hartree per atom

=====

# MgNiMo (PBE-GGA, optimized geometry)
data_MgNiMo
_symmetry_space_group_name_H-M 'P n m a'
_symmetry_Int_Tables_number 62
_symmetry_space_group_name_Hall '-P 2ac 2n'
_cell_length_a 6.869
_cell_length_b 3.625
_cell_length_c 7.527
_cell_angle_alpha 90.00
_cell_angle_beta 90.00
_cell_angle_gamma 90.00
loop_
_atom_site_label
_atom_site_fract_x
_atom_site_fract_y
_atom_site_fract_z
Mg1 0.036 0.250 0.165
Ni1 0.249 0.750 0.353
Mo1 0.123 0.250 0.549
# offset from the most stable computed form: 0.000 eV per atom

=====

# KBeCoTe (PBE-GGA, optimized geometry)
data_KBeCoTe
_symmetry_space_group_name_H-M 'F -4 3 m'
_symmetry_Int_Tables_number 216
_symmetry_space_group_name_Hall 'F -4 2 3'
_cell_length_a 6.720
_cell_length_b 6.720
_cell_length_c 6.720
_cell_angle_alpha 90.00
_cell_angle_beta 90.00
_cell_angle_gamma 90.00
loop_
_atom_site_label
_atom_site_fract_x
_atom_site_fract_y
_atom_site_fract_z
K1 0.000 0.000 0.000
Be1 0.250 0.250 0.250
Co1 0.000 0.000 0.500
Te1 0.250 0.250 0.750
# offset from the most stable computed form: 0.000 eV per atom

=====

# Cu5Ag4 (PBE-GGA, optimized geometry)
data_Cu5Ag4
_symmetry_space_group_name_H-M 'C 1 2/m 1'
_symmetry_Int_Tables_number 12
_symmetry_space_group_name_Hall '-C 2y'
_cell_length_a 11.715
_cell_length_b 2.748
_cell_length_c 8.342
_cell_angle_alpha 90.00
_cell_angle_beta 104.06
_cell_angle_gamma 90.00
loop_
_atom_site_label
_atom_site_fract_x
_atom_site_fract_y
_atom_site_fract_z
Cu1 0.000 0.000 0.000
Cu2 0.000 0.000 0.353
Cu3 0.162 0.500 0.551
Ag1 0.156 0.500 0.879
Ag2 0.161 0.500 0.232
# DFT formation energy: 89 meV/atom
# offset from the most stable computed form: 0.049 eV per atom

=====

# Sm2P3Pt6 (PBE-GGA, optimized geometry)
data_Sm2P3Pt6
_symmetry_space_group_name_H-M 'I 41/a m d'
_symmetry_Int_Tables_number 141
_cell_length_a 4.139
_cell_length_b 4.139
_cell_length_c 45.833
_cell_angle_alpha 90.00
_cell_angle_beta 90.00
_cell_angle_gamma 90.00
loop_
_symmetry_equiv_pos_as_xyz
'x,y,z'
'-x,-y,-z'
'-y+1/4,x+3/4,z+1/4'
'y+1/4,-x+3/4,-z+1/4'
'-x+1/2,-y,z+1/2'
'x+1/2,y,-z+1/2'
'y+1/4,-x+1/4,z+3/4'
'-y+1/4,x+1/4,-z+3/4'
'x,-y,-z'
'-x,y,z'
'-y+1/4,-x+1/4,-z+3/4'
'y+1/4,x+1/4,z+3/4'
'-x+1/2,y,-z+1/2'
'x+1/2,-y,z+1/2'
'y+1/4,x+3/4,-z+1/4'
'-y+1/4,-x+3/4,z+1/4'
'x+1/2,y+1/2,z+1/2'
'-x+1/2,-y+1/2,-z+1/2'
'-y+3/4,x+1/4,z+3/4'
'y+3/4,-x+1/4,-z+3/4'
'-x,-y+1/2,z'
'x,y+1/2,-z'
'y+3/4,-x+3/4,z+1/4'
'-y+3/4,x+3/4,-z+1/4'
'x+1/2,-y+1/2,-z+1/2'
'-x+1/2,y+1/2,z+1/2'
'-y+3/4,-x+3/4,-z+1/4'
'y+3/4,x+3/4,z+1/4'
'-x,y+1/2,-z'
'x,-y+1/2,z'
'y+3/4,x+1/4,-z+3/4'
'-y+3/4,-x+1/4,z+3/4'
loop_
_atom_site_label
_atom_site_fract_x
_atom_site_fract_y
_atom_site_fract_z
Sm1 0.000 0.250 0.075
P1 0.000 0.250 0.200
P2 0.000 0.250 0.375
Pt1 0.000 0.250 0.149
Pt2 0.000 0.250 0.273
Pt3 0.000 0.250 0.774
# total energy: -0.243 hartree per atom

=====

# CsWAu3S4 (PBE-GGA, optimized geometry)
data_CsWAu3S4
_symmetry_space_group_name_H-M 'P -4 3 m'
_symmetry_Int_Tables_number 215
_symmetry_space_group_name_Hall 'P -4 2 3'
_cell_length_a 6.388
_cell_length_b 6.388
_cell_length_c 6.388
_cell_angle_alpha 90.00
_cell_angle_beta 90.00
_cell_angle_gamma 90.00
loop_
_atom_site_label
_atom_site_fract_x
_atom_site_fract_y
_atom_site_fract_z
Cs1 0.000 0.000 0.000
W1 0.500 0.500 0.500
Au1 0.000 0.500 0.500
S1 0.294 0.294 0.294
# total energy: -0.169 hartree per atom

=====

# RbLaZr (PBE-GGA, optimized geometry)
data_RbLaZr
_symmetry_space_group_name_H-M 'F -4 3 m'
_symmetry_Int_Tables_number 216
_symmetry_space_group_name_Hall 'F -4 2 3'
_cell_length_a 8.144
_cell_length_b 8.144
_cell_length_c 8.144
_cell_angle_alpha 90.00
_cell_angle_beta 90.00
_cell_angle_gamma 90.00
loop_
_atom_site_label
_atom_site_fract_x
_atom_site_fract_y
_atom_site_fract_z
Rb1 0.000 0.000 0.000
La1 0.250 0.250 0.250
Zr1 0.000 0.000 0.500
# offset from the most stable computed form: 0.000 eV per atom